Below is a geometry-optimized Rb2Ca3PrF12 structure, with properties calculated at the PBE level.

Uncorrected formation energy   -60.88 eV/f.u.

Cell: 8.1646 8.1646 21.3500 Å, 90.00 90.00 120.00°
Space group R-3m (No. 166, hexagonal axes)
Inequivalent atoms, fractional coordinates:
Rb: 0.0000 0.0000 0.0901 x6
Ca: 0.0000 0.5000 0.0000 x9
Pr: 0.0000 0.0000 0.5000 x3
F: 0.0476 0.5238 0.3568 x18
F: 0.0706 0.5353 0.1031 x18


Below is a geometry-optimized CaPtF3 structure, with properties calculated at the PBE level.

Energy above the lowest structure with this stoichiometry   0 meV per atom
Uncorrected formation energy   -8.89 eV/f.u.

Cell: 4.3965 4.3965 4.3965 Å, 90.00 90.00 90.00°
Space group Pm-3m (No. 221)
Inequivalent atoms, fractional coordinates:
Ca: 0.0000 0.0000 0.0000 x1
Pt: 0.5000 0.5000 0.5000 x1
F: 0.0000 0.0000 0.5000 x3


Below is a geometry-optimized CaPtF2 structure, with properties calculated at the PBE level.

Energy above the lowest structure with this stoichiometry   417 meV per atom
Uncorrected formation energy   -6.49 eV/f.u.

Cell: 5.2994 5.2994 11.4487 Å, 90.00 90.00 90.00°
Space group I-42d (No. 122)
Inequivalent atoms, fractional coordinates:
Ca: 0.0000 0.0000 0.0000 x4
Pt: 0.0000 0.0000 0.5000 x4
F: 0.1748 0.2500 0.1250 x8


Below is a geometry-optimized Ca3PtF structure, with properties calculated at the PBE level.

Energy above the lowest structure with this stoichiometry   0 meV per atom
Uncorrected formation energy   -6.75 eV/f.u.

Cell: 4.7931 4.7931 4.7931 Å, 90.00 90.00 90.00°
Space group Pm-3m (No. 221)
Inequivalent atoms, fractional coordinates:
Ca: 0.0000 0.0000 0.5000 x3
Pt: 0.5000 0.5000 0.5000 x1
F: 0.0000 0.0000 0.0000 x1


Below is a geometry-optimized Ca4Pt2F structure, with properties calculated at the PBE level.

Uncorrected formation energy   -9.48 eV/f.u.

Cell: 4.5917 4.5917 15.6207 Å, 90.00 90.00 90.00°
Space group I4/mmm (No. 139)
Inequivalent atoms, fractional coordinates:
Ca: 0.0000 0.0000 0.1859 x4
Ca: 0.0000 0.5000 0.0000 x4
Pt: 0.0000 0.0000 0.3728 x4
F: 0.0000 0.0000 0.0000 x2


Below is a geometry-optimized Ca2PtF8 structure, with properties calculated at the PBE level.

Uncorrected formation energy   -29.43 eV/f.u.

Cell: 6.7820 6.7820 4.4297 Å, 90.00 90.00 120.00°
Space group P-3m1 (No. 164)
Inequivalent atoms, fractional coordinates:
Ca: 0.3333 0.6667 0.2611 x2
Pt: 0.0000 0.0000 0.5000 x1
F: 0.1410 0.2820 0.2603 x6
F: 0.3333 0.6667 0.7610 x2


Number 1: D(E_F) 1.084 states/eV per atom. Number 2: D(E_F) 2.875 states/eV per atom. Number 3: D(E_F) 2.689 states/eV per atom. Number 4: D(E_F) 0.485 states/eV per atom. Number 5: D(E_F) 0.471 states/eV per atom. Number 6: D(E_F) 0.000 states/eV per atom.